(1)
Below is a relaxed AgRh2Pb crystal, with properties calculated at the PBE-GGA level.

Summary:
Uncorrected energy (eV per atom): -5.1099
SG: I-4m2 (119)
Calculated volume (A^3/atom): 17.304
N(E_F) (states/eV per cell): 4.76

POSCAR file:
```
AgRh2Pb
1.0
-2.072 2.072 4.032
2.072 -2.072 4.032
2.072 2.072 -4.032
Ag Rh Pb
1 2 1
Direct
0.000 0.000 0.000 Ag
0.500 0.500 0.000 Rh
0.750 0.250 0.500 Rh
0.250 0.750 0.500 Pb
```

(2)
Below is a relaxed ReAg crystal, with properties calculated at the PBE-GGA level.

Summary:
SG: F-43m (216)
Calculated volume (A^3/atom): 24.003
N(E_F) (states/eV per cell): 2.29
Energy relative to the lowest polymorph listed for this composition (eV/atom): 2.6871

POSCAR file:
```
ReAg
1.0
0.000 2.885 2.885
2.885 0.000 2.885
2.885 2.885 0.000
Re Ag
1 1
Direct
0.000 0.000 0.000 Re
0.750 0.750 0.750 Ag
```

(3)
Below is a relaxed MnAs2PbBr crystal, with properties calculated at the PBE-GGA level.

Summary:
SG: P4/mmm (123)
Calculated volume (A^3/atom): 25.073
Energy relative to the elements, uncorrected (meV/atom): 114
N(E_F) (states/eV per cell): 3.76
Energy relative to the lowest polymorph listed for this composition (eV/atom): 0.0000

POSCAR file:
```
MnAs2PbBr
1.0
4.707 0.000 0.000
0.000 4.707 0.000
0.000 0.000 5.659
Mn As Pb Br
1 2 1 1
Direct
0.000 0.000 0.000 Mn
0.000 0.500 0.000 As
0.500 0.000 0.000 As
0.500 0.500 0.500 Pb
0.000 0.000 0.500 Br
```